Here is an optimized crystal structure of La2YTe4 from the Alexandria database. Energies are from PBE.

```
La2YTe4
1.0
-2.876 2.876 8.034
2.876 -2.876 8.034
2.876 2.876 -8.034
La Y Te
2 1 4
Direct
0.121 0.121 0.000
0.879 0.879 0.000
0.500 0.500 0.000
0.000 0.500 0.500
0.313 0.313 0.000
0.500 0.000 0.500
0.687 0.687 0.000
```

Summary:
energy relative to the elements, uncorrected	-1.1981	eV per atom
space-group type	No. 139
crystal system	tetragonal
E above lowest polymorph	2.23	eV per formula unit
total magnetization	0.08	μB per atom
DFT total energy	-5.325	eV/atom